Li5Sn2Sb5 | PBE | optimized geometry

The structure in extended XYZ format:
```
12
Lattice="4.7110 0.0000 0.0000 -2.3555 6.1634 -0.2199 0.0000 -3.3852 10.9998" Properties=species:S:1:pos:R:3 pbc="T T T"
Li 2.3555 -1.6926 5.4999
Li 2.3555 -1.6528 10.9207
Li 2.3555 1.1324 4.0897
Li 0.0000 1.6457 6.6901
Li 0.0000 4.4310 -0.1408
Sn 0.0000 -1.3253 8.7543
Sn 2.3555 4.1035 2.0256
Sb 0.0000 -0.4573 4.6309
Sb 2.3555 0.5104 8.5758
Sb 0.0000 2.2678 2.2040
Sb 2.3555 3.2355 6.1490
Sb 0.0000 0.0000 0.0000
```

- Uncorrected formation energy: -324 kJ/mol of formula units
- Volume: 315.88 Å³/cell

HfSeS2N | PBE | optimized geometry

The structure in extended XYZ format:
```
5
Lattice="-0.8247 0.4691 4.7474 1.5772 -4.5201 0.7206 3.3689 1.2491 0.4618" Properties=species:S:1:pos:R:3 pbc="T T T"
S 0.7886 -2.2600 0.3603
S -0.4123 0.2345 2.3737
Hf 2.0607 -1.4009 2.9649
Se 0.0000 0.0000 0.0000
N 1.6844 0.6246 0.2309
```

- Uncorrected formation energy: 318 kJ/mol of formula units
- Volume: 84.90 Å³/cell

NaNb3O5 | PBE | optimized geometry

The structure in extended XYZ format:
```
18
Lattice="-0.5923 3.8201 -3.8674 3.0161 -4.1816 -1.8217 -7.6629 -5.4182 0.4519" Properties=species:S:1:pos:R:3 pbc="T T T"
Na -2.5968 -4.0164 -4.2235
Na -2.6423 -1.7632 -1.0137
Nb -4.8527 -5.6438 -1.7088
Nb 0.4235 -2.8310 -3.0121
Nb 0.0000 0.0000 0.0000
Nb -2.3234 -4.7999 -0.6849
Nb -0.3865 -0.1358 -3.5284
Nb -5.6627 -2.9486 -2.2252
O -2.5349 0.2637 -2.9124
O 0.7564 -0.1128 -1.7754
O -5.4290 -7.6683 -1.8258
O -1.3542 -2.0916 -3.8164
O -3.8849 -3.6880 -1.4208
O 0.1899 1.8887 -3.4115
O -0.8237 -3.7232 -1.6711
O 1.6674 -0.2487 -3.9137
O -2.7043 -6.0434 -2.3248
O -4.4154 -2.0564 -3.5662
```

- Uncorrected formation energy: -1604 kJ/mol of formula units
- Volume: 242.21 Å³/cell

Li2CdAg | PBE | optimized geometry

The structure in extended XYZ format:
```
4
Lattice="-4.5570 1.6549 1.5625 -4.7332 -1.4268 1.2278 0.3376 -0.5368 4.7646" Properties=species:S:1:pos:R:3 pbc="T T T"
Li -9.2522 0.2203 2.8425
Li -6.7956 -0.2187 5.5910
Ag -4.4427 -0.1656 3.8636
Cd -2.2286 -0.0709 1.8257
```

- Formation energy: -0.198 eV/atom
- Volume: 70.70 Å³/cell

LiBeCuGe | PBE | optimized geometry

The structure in extended XYZ format:
```
4
Lattice="4.0865 0.0000 0.0000 2.0432 3.5390 0.0000 2.0432 1.1797 3.3366" Properties=species:S:1:pos:R:3 pbc="T T T"
Be 0.0000 0.0000 0.0000
Ge 2.0432 1.1797 0.8341
Cu 6.1297 3.5390 2.5024
Li 4.0865 2.3593 1.6683
```

- Formation energy: -0.018 eV/atom
- Volume: 48.25 Å³/cell

TbPuGa2Au5 | PBE | optimized geometry

The structure in extended XYZ format:
```
9
Lattice="4.4212 0.0000 0.0000 0.0000 4.4212 0.0000 0.0000 0.0000 9.5638" Properties=species:S:1:pos:R:3 pbc="T T T"
Tb 0.0000 0.0000 0.0000
Pu 0.0000 0.0000 4.7819
Ga 2.2106 2.2106 1.2146
Ga 2.2106 2.2106 8.3492
Au 0.0000 2.2106 2.5591
Au 2.2106 0.0000 2.5591
Au 0.0000 2.2106 7.0047
Au 2.2106 0.0000 7.0047
Au 2.2106 2.2106 4.7819
```

- Formation energy: -0.402 eV/atom
- Volume: 186.94 Å³/cell

Which formula does entry 4 have?
Li2CdAg

What is the formula in the fourth record?
Li2CdAg

volume of number 5 (LiBeCuGe)?
48.25 Å³/cell